A geometry-optimized ThScTaC3 structure, computed with PBE.

- Density of states at the Fermi level: 2.20 states/eV/f.u.
- Theoretical density: 9.399 Mg/m³
- Final energy: -9.259 eV per atom
- Space group: P2_1/m
- Calculated formation energy: -379 meV per atom
- Calculated volume: 175 Å³/cell

Cell and atoms, written as POSCAR:
```
ThScTaC3
1.0
-3.034 -1.494 -1.039
2.086 -0.488 -5.390
2.470 -7.523 3.606
Th Sc Ta C
2 2 2 6
Direct
0.750 0.648 0.700
0.250 0.352 0.300
0.250 0.767 0.047
0.750 0.233 0.953
0.250 0.133 0.640
0.750 0.867 0.360
0.250 0.774 0.477
0.750 0.038 0.164
0.750 0.564 0.169
0.750 0.226 0.523
0.250 0.436 0.831
0.250 0.962 0.836
```